# 1
TcP2Rh | PBE-GGA | relaxed

Output
Total DFT energy (no corrections) in eV per cell: -28.32
Crystal system: orthorhombic
Energy of formation from the pure elements in meV per atom: 54
Energy above the lowest structure with this stoichiometry in meV/atom: 490.2
Density in g/cm³: 7.714

a b c (Å): 4.7733 4.7733 4.7733
angles (deg): 143.63 116.33 75.60
Last column: nearest neighbours and their distance in Å.
Fractional positions:
Tc1 0.0000 0.0000 0.0000  4 P 2.41
P1 0.2516 0.7516 0.5000  2 Rh 2.39, 2 Tc 2.41
P2 0.7484 0.2484 0.5000  2 Rh 2.39, 2 Tc 2.41
Rh1 0.5000 0.5000 0.0000  4 P 2.39

# 2
Tc2PRh | PBE-GGA | relaxed

Output
Total DFT energy (no corrections) in eV per cell: -34.59
Crystal system: tetragonal
Energy of formation from the pure elements in meV per atom: -274
Density in g/cm³: 10.111

a b c (Å): 2.8731 2.8731 6.5630
angles (deg): 90.00 90.00 90.00
Last column: nearest neighbours and their distance in Å.
Fractional positions:
Tc1 0.0000 0.0000 0.2137  4 P 2.47
Tc2 0.0000 0.0000 0.7863  4 P 2.47
P1 0.5000 0.5000 0.0000  8 Tc 2.47
Rh1 0.5000 0.5000 0.5000  8 Tc 2.77, 4 Rh 2.87

# 3
Tc2PRh | PBE-GGA | relaxed

Output
Total DFT energy (no corrections) in eV per cell: -33.96
Crystal system: trigonal
Energy of formation from the pure elements in meV per atom: -116
Density in g/cm³: 9.852

a b c (Å): 8.3700 8.3700 8.3700
angles (deg): 19.23 19.23 19.23
Last column: nearest neighbours and their distance in Å.
Fractional positions:
Tc1 0.0000 0.0000 0.0000  9 Tc 2.69-2.80, 3 Rh 2.80
Tc2 0.2459 0.2459 0.2459  3 P 2.51, 9 Tc 2.69-2.80
P1 0.5011 0.5011 0.5011  3 Rh 2.45, 3 Tc 2.51
Rh1 0.7597 0.7597 0.7597  3 P 2.45

# 4
TcP2Rh2 | PBE-GGA | relaxed

Output
Total DFT energy (no corrections) in eV per cell: -74.32
Crystal system: tetragonal
Energy of formation from the pure elements in meV per atom: -254
Density in g/cm³: 8.996

a b c (Å): 6.6347 6.6347 3.0673
angles (deg): 90.00 90.00 90.00
Last column: nearest neighbours and their distance in Å.
Fractional positions:
Tc1 0.0000 0.0000 0.0000  4 P 2.51
Tc2 0.5000 0.5000 0.0000  4 P 2.51
P1 0.1561 0.3439 0.0000  6 Rh 2.40-2.53, 2 Tc 2.51
P2 0.3439 0.8439 0.0000  6 Rh 2.40-2.53, 2 Tc 2.51
P3 0.6561 0.1561 0.0000  6 Rh 2.40-2.53, 2 Tc 2.51
P4 0.8439 0.6561 0.0000  6 Rh 2.40-2.53, 2 Tc 2.51
Rh1 0.1468 0.6468 0.5000  6 P 2.40-2.53
Rh2 0.3532 0.1468 0.5000  6 P 2.40-2.53
Rh3 0.6468 0.8532 0.5000  6 P 2.40-2.53
Rh4 0.8532 0.3532 0.5000  6 P 2.40-2.53

# 5
Tc2PRh | PBE-GGA | relaxed

Output
Total DFT energy (no corrections) in eV per cell: -62.39
Crystal system: tetragonal
Energy of formation from the pure elements in meV per atom: 575
Density in g/cm³: 6.977

a b c (Å): 6.4877 6.4877 6.4877
angles (deg): 129.86 129.86 73.64
Last column: nearest neighbours and their distance in Å.
Fractional positions:
Tc1 0.1085 0.6250 0.9835  2 P 2.29, 2 Rh 2.39
Tc2 0.3750 0.3585 0.4835  2 P 2.29, 2 Rh 2.39
Tc3 0.6415 0.1250 0.0165  2 P 2.29, 2 Rh 2.39
Tc4 0.8750 0.8915 0.5165  2 P 2.29, 2 Rh 2.39
P1 0.0000 0.0000 0.0000  4 Tc 2.29
P2 0.7500 0.2500 0.5000  4 Tc 2.29
Rh1 0.2500 0.7500 0.5000  4 Tc 2.39
Rh2 0.5000 0.5000 0.0000  4 Tc 2.39

# 6
Tc2PRh | PBE-GGA | relaxed

Output
Total DFT energy (no corrections) in eV per cell: -32.69
Crystal system: orthorhombic
Energy of formation from the pure elements in meV per atom: 201
Density in g/cm³: 9.618

a b c (Å): 2.7825 2.7825 8.2662
angles (deg): 90.00 90.00 117.14
Last column: nearest neighbours and their distance in Å.
Fractional positions:
Tc1 0.0000 0.0000 0.2232  2 P 2.35
Tc2 0.0000 0.0000 0.7768  2 P 2.35
P1 0.5000 0.5000 0.0000  4 Tc 2.35
Rh1 0.5000 0.5000 0.5000  4 Tc 2.71, 6 Rh 2.78-2.90

# 7
TcP2Rh | PBE-GGA | relaxed

Output
Total DFT energy (no corrections) in eV per cell: -30.15
Crystal system: tetragonal
Energy of formation from the pure elements in meV per atom: -403
Energy above the lowest structure with this stoichiometry in meV/atom: 33.8
Density in g/cm³: 8.002

a b c (Å): 3.2267 3.2267 5.2393
angles (deg): 90.00 90.00 90.00
Last column: nearest neighbours and their distance in Å.
Fractional positions:
Tc1 0.0000 0.0000 0.0000  6 P 2.43-2.72
P1 0.0000 0.0000 0.4812  4 Rh 2.39, 1 Tc 2.52
P2 0.5000 0.5000 0.1611  1 Rh 2.38, 4 Tc 2.43
Rh1 0.5000 0.5000 0.6163  5 P 2.38-2.39

# 8
TcP2Rh | PBE-GGA | relaxed

Output
Total DFT energy (no corrections) in eV per cell: -59.31
Crystal system: tetragonal
Energy of formation from the pure elements in meV per atom: -279
Energy above the lowest structure with this stoichiometry in meV/atom: 157.7
Density in g/cm³: 6.004

a b c (Å): 6.4405 6.4405 6.4405
angles (deg): 131.82 131.82 70.52
Last column: nearest neighbours and their distance in Å.
Fractional positions:
Tc1 0.0000 0.0000 0.0000  4 P 2.27
Tc2 0.7500 0.2500 0.5000  4 P 2.27
P1 0.1242 0.6250 0.9992  2 Tc 2.27, 2 Rh 2.28
P2 0.3750 0.3742 0.4992  2 Tc 2.27, 2 Rh 2.28
P3 0.6258 0.1250 0.0008  2 Tc 2.27, 2 Rh 2.28
P4 0.8750 0.8758 0.5008  2 Tc 2.27, 2 Rh 2.28
Rh1 0.2500 0.7500 0.5000  4 P 2.28
Rh2 0.5000 0.5000 0.0000  4 P 2.28

# 9
TcP4Rh | PBE-GGA | relaxed

Output
Total DFT energy (no corrections) in eV per cell: -35.33
Crystal system: cubic
Energy of formation from the pure elements in meV per atom: 672
Density in g/cm³: 6.536

a b c (Å): 4.8868 4.8868 4.8868
angles (deg): 60.00 60.00 60.00
Last column: nearest neighbours and their distance in Å.
Fractional positions:
Tc1 0.0000 0.0000 0.0000  12 P 2.86, 4 Rh 2.99
P1 0.1240 0.6253 0.6253  6 P 2.44-2.45
P2 0.6253 0.1240 0.6253  6 P 2.44-2.45
P3 0.6253 0.6253 0.1240  6 P 2.44-2.45
P4 0.6253 0.6253 0.6253  6 P 2.44-2.45
Rh1 0.2500 0.2500 0.2500  12 P 2.87, 4 Tc 2.99

# 10
Tc4PRh | PBE-GGA | relaxed

Output
Total DFT energy (no corrections) in eV per cell: -50.37
Crystal system: cubic
Energy of formation from the pure elements in meV per atom: 643
Density in g/cm³: 9.416

a b c (Å): 5.0808 5.0808 5.0808
angles (deg): 60.00 60.00 60.00
Last column: nearest neighbours and their distance in Å.
Fractional positions:
Tc1 0.3760 0.3760 0.3760  6 Tc 2.52-2.56
Tc2 0.3760 0.3760 0.8721  6 Tc 2.52-2.56
Tc3 0.3760 0.8721 0.3760  6 Tc 2.52-2.56
Tc4 0.8721 0.3760 0.3760  6 Tc 2.52-2.56
P1 0.0000 0.0000 0.0000  12 Tc 2.98, 4 Rh 3.11
Rh1 0.7500 0.7500 0.7500  12 Tc 2.98, 4 P 3.11

# 11
TcPRh | PBE-GGA | relaxed

Output
Total DFT energy (no corrections) in eV per cell: -22.46
Crystal system: cubic
Energy of formation from the pure elements in meV per atom: 221
Energy above the lowest structure with this stoichiometry in meV/atom: 649.4
Density in g/cm³: 7.964

a b c (Å): 4.0891 4.0891 4.0891
angles (deg): 60.00 60.00 60.00
Last column: nearest neighbours and their distance in Å.
Fractional positions:
Tc1 0.0000 0.0000 0.0000  4 Rh 2.50
P1 0.5000 0.5000 0.5000  4 Rh 2.50
Rh1 0.7500 0.7500 0.7500  4 Tc 2.50, 4 P 2.50

# 12
TcPRh | PBE-GGA | relaxed

Output
Total DFT energy (no corrections) in eV per cell: -23.12
Crystal system: orthorhombic
Energy of formation from the pure elements in meV per atom: 3
Energy above the lowest structure with this stoichiometry in meV/atom: 431.8
Density in g/cm³: 9.218

a b c (Å): 4.4214 4.4214 4.4214
angles (deg): 141.76 127.59 66.71
Last column: nearest neighbours and their distance in Å.
Fractional positions:
Tc1 0.0000 0.0000 0.0000  1 P 2.41, 5 Rh 2.58-2.68
P1 0.3264 0.3264 0.0000  1 Rh 2.40, 1 Tc 2.41
Rh1 0.6512 0.6512 0.0000  1 P 2.40, 5 Tc 2.58-2.68

# 13
Tc2PRh | PBE-GGA | relaxed

Output
Total DFT energy (no corrections) in eV per cell: -34.66
Crystal system: orthorhombic
Energy of formation from the pure elements in meV per atom: -292
Density in g/cm³: 10.080

a b c (Å): 5.0470 5.0470 5.0470
angles (deg): 146.51 129.29 62.15
Last column: nearest neighbours and their distance in Å.
Fractional positions:
Tc1 0.0000 0.0000 0.0000  4 P 2.60, 6 Tc 2.81-2.91, 4 Rh 2.84-2.88
Tc2 0.7220 0.2220 0.5000  2 P 2.40, 4 Rh 2.66
P1 0.5009 0.5009 0.0000  2 Rh 2.35, 6 Tc 2.40-2.60
Rh1 0.2870 0.7870 0.5000  2 P 2.35

# 14
Tc2P2Rh | PBE-GGA | relaxed

Output
Total DFT energy (no corrections) in eV per cell: -80.85
Crystal system: tetragonal
Energy of formation from the pure elements in meV per atom: -305
Density in g/cm³: 8.954

a b c (Å): 6.8270 6.8270 2.8717
angles (deg): 90.00 90.00 90.00
Last column: nearest neighbours and their distance in Å.
Fractional positions:
Tc1 0.1482 0.3518 0.0000  6 P 2.40-2.51
Tc2 0.3518 0.8518 0.0000  6 P 2.40-2.51
Tc3 0.6482 0.1482 0.0000  6 P 2.40-2.51
Tc4 0.8518 0.6482 0.0000  6 P 2.40-2.51
P1 0.1526 0.6526 0.5000  6 Tc 2.40-2.51, 2 Rh 2.59
P2 0.3474 0.1526 0.5000  6 Tc 2.40-2.51, 2 Rh 2.59
P3 0.6526 0.8474 0.5000  6 Tc 2.40-2.51, 2 Rh 2.59
P4 0.8474 0.3474 0.5000  6 Tc 2.40-2.51, 2 Rh 2.59
Rh1 0.0000 0.0000 0.5000  4 P 2.59, 2 Rh 2.87
Rh2 0.5000 0.5000 0.5000  4 P 2.59, 2 Rh 2.87